No. 1
# PBE-GGA ZnSO5, optimized geometry
# Density = 4.0 g/cm³
# DOS(E_F) = 2.59 states/eV/f.u.
# Total magnetization = 0.990 μB per formula unit
# ΔE_f (raw) = -310.3 kJ/mol of formula units
# Volume = 298 Å³ per cell
data_ZnSO5
_chemical_formula_sum 'Zn4 S4 O20'
_space_group_name_H-M_alt 'C 1 2/c 1'
_space_group_IT_number 15
_space_group_name_Hall '-C 2yc'
_cell_length_a 8.235
_cell_length_b 5.616
_cell_length_c 7.149
_cell_angle_alpha 90.00
_cell_angle_beta 115.86
_cell_angle_gamma 90.00
loop_
_atom_site_label
_atom_site_fract_x
_atom_site_fract_y
_atom_site_fract_z
_atom_site_occupancy
Zn1 0.000 0.035 0.250 1
S1 0.000 0.500 0.000 1
O1 0.000 0.398 0.250 1
O2 0.020 0.226 0.963 1
O3 0.209 0.474 0.611 1

=====

No. 2
# PBE-GGA Li3Er3US8, optimized geometry
# Density = 5.2 g/cm³
# DOS(E_F) = 5.97 states/eV/f.u.
# Total magnetization = 2.000 μB per formula unit
# ΔE_f (raw) = -2508.5 kJ/mol of formula units
# Volume = 979 Å³ per cell
data_Li3Er3US8
_chemical_formula_sum 'Li9 Er9 U3 S24'
_space_group_name_H-M_alt 'R -3 m'
_space_group_IT_number 166
_space_group_name_Hall '-R 3 2"'
_cell_length_a 7.8181
_cell_length_b 7.8181
_cell_length_c 18.5023
_cell_angle_alpha 90.00
_cell_angle_beta 90.00
_cell_angle_gamma 120.00
loop_
_atom_site_label
_atom_site_fract_x
_atom_site_fract_y
_atom_site_fract_z
_atom_site_occupancy
Li1 0.0000 0.5000 0.0000 1
Er1 0.0000 0.5000 0.5000 1
U1 0.0000 0.0000 0.5000 1
S1 0.0000 0.0000 0.2493 1
S2 0.0039 0.5020 0.2476 1

=====

No. 3
# PBE-GGA PuNpSb2, optimized geometry
# Density = 11.6 g/cm³
# DOS(E_F) = 14.75 states/eV/f.u.
# Total magnetization = 10.135 μB per formula unit
# ΔE_f (raw) = -162.9 kJ/mol of formula units
# Volume = 208 Å³ per cell
data_PuNpSb2
_chemical_formula_sum 'Pu2 Np2 Sb4'
_space_group_name_H-M_alt 'I 4/m m m'
_space_group_IT_number 139
_space_group_name_Hall '-I 4 2'
_cell_length_a 5.671
_cell_length_b 5.671
_cell_length_c 6.474
_cell_angle_alpha 90.00
_cell_angle_beta 90.00
_cell_angle_gamma 90.00
loop_
_atom_site_label
_atom_site_fract_x
_atom_site_fract_y
_atom_site_fract_z
_atom_site_occupancy
Pu1 0.000 0.000 0.000 1
Np1 0.000 0.000 0.500 1
Sb1 0.000 0.500 0.250 1

=====

No. 4
# PBE-GGA TlAu, optimized geometry
# Density = 13.0 g/cm³
# DOS(E_F) = 0.53 states/eV/f.u.
# Formation enthalpy at 0 K = 0.15 eV/f.u.
# Total magnetization = 0.000 μB per formula unit
# Volume = 103 Å³ per cell
data_TlAu
_chemical_formula_sum 'Tl2 Au2'
_space_group_name_H-M_alt 'P -3 m 1'
_space_group_IT_number 164
_space_group_name_Hall '-P 3 2"'
_cell_length_a 3.6400
_cell_length_b 3.6400
_cell_length_c 8.9368
_cell_angle_alpha 90.00
_cell_angle_beta 90.00
_cell_angle_gamma 120.00
loop_
_atom_site_label
_atom_site_fract_x
_atom_site_fract_y
_atom_site_fract_z
_atom_site_occupancy
Tl1 0.3333 0.6667 0.1595 1
Au1 0.3333 0.6667 0.6062 1

=====

No. 5
# PBE-GGA SbRh2W, optimized geometry
# Density = 12.9 g/cm³
# DOS(E_F) = 1.92 states/eV/f.u.
# Total magnetization = 0.000 μB per formula unit
# ΔE_f (raw) = 33.6 kJ/mol of formula units
# Volume = 132 Å³ per cell
data_SbRh2W
_chemical_formula_sum 'Sb2 Rh4 W2'
_space_group_name_H-M_alt 'I m m 2'
_space_group_IT_number 44
_space_group_name_Hall 'I 2 -2'
_cell_length_a 2.990
_cell_length_b 4.653
_cell_length_c 9.469
_cell_angle_alpha 90.00
_cell_angle_beta 90.00
_cell_angle_gamma 90.00
loop_
_atom_site_label
_atom_site_fract_x
_atom_site_fract_y
_atom_site_fract_z
_atom_site_occupancy
Sb1 0.000 0.000 0.000 1
Rh1 0.000 0.000 0.512 1
Rh2 0.000 0.500 0.724 1
W1 0.000 0.500 0.256 1

=====

No. 6
# PBE-GGA KNaSrCa, optimized geometry
# Density = 1.5 g/cm³
# DOS(E_F) = 3.73 states/eV/f.u.
# Formation enthalpy at 0 K = 0.59 eV/f.u.
# Total magnetization = 0.000 μB per formula unit
# Volume = 818 Å³ per cell
data_KNaSrCa
_chemical_formula_sum 'K4 Na4 Sr4 Ca4'
_space_group_name_H-M_alt 'F -4 3 m'
_space_group_IT_number 216
_space_group_name_Hall 'F -4 2 3'
_cell_length_a 9.352
_cell_length_b 9.352
_cell_length_c 9.352
_cell_angle_alpha 90.00
_cell_angle_beta 90.00
_cell_angle_gamma 90.00
loop_
_atom_site_label
_atom_site_fract_x
_atom_site_fract_y
_atom_site_fract_z
_atom_site_occupancy
K1 0.000 0.000 0.000 1
Na1 0.250 0.250 0.250 1
Sr1 0.000 0.000 0.500 1
Ca1 0.250 0.250 0.750 1

=====

No. 7
# PBE-GGA KSiMo2, optimized geometry
# Density = 5.7 g/cm³
# DOS(E_F) = 3.39 states/eV/f.u.
# Total magnetization = 0.000 μB per formula unit
# ΔE_f (raw) = 201.1 kJ/mol of formula units
# Volume = 151 Å³ per cell
data_KSiMo2
_chemical_formula_sum 'K2 Si2 Mo4'
_space_group_name_H-M_alt 'C m m 2'
_space_group_IT_number 35
_space_group_name_Hall 'C 2 -2'
_cell_length_a 3.294
_cell_length_b 4.577
_cell_length_c 10.011
_cell_angle_alpha 90.00
_cell_angle_beta 90.00
_cell_angle_gamma 90.00
loop_
_atom_site_label
_atom_site_fract_x
_atom_site_fract_y
_atom_site_fract_z
_atom_site_occupancy
K1 0.000 0.000 0.000 1
Si1 0.000 0.500 0.723 1
Mo1 0.000 0.000 0.525 1
Mo2 0.000 0.500 0.314 1

=====

No. 8
# PBE-GGA RbCrP2S, optimized geometry
# Density = 3.0 g/cm³
# DOS(E_F) = 3.27 states/eV/f.u.
# Total magnetization = 4.659 μB per formula unit
# ΔE_f (raw) = 456.1 kJ/mol of formula units
# Volume = 126 Å³ per cell
data_RbCrP2S
_chemical_formula_sum 'Rb1 Cr1 P2 S1'
_space_group_name_H-M_alt 'P 4/m m m'
_space_group_IT_number 123
_space_group_name_Hall '-P 4 2'
_cell_length_a 4.743
_cell_length_b 4.743
_cell_length_c 5.615
_cell_angle_alpha 90.00
_cell_angle_beta 90.00
_cell_angle_gamma 90.00
loop_
_atom_site_label
_atom_site_fract_x
_atom_site_fract_y
_atom_site_fract_z
_atom_site_occupancy
Rb1 0.000 0.000 0.000 1
Cr1 0.500 0.500 0.000 1
P1 0.000 0.500 0.500 1
S1 0.000 0.000 0.500 1

=====

No. 9
# PBE-GGA LaTmPu2S4, optimized geometry
# Density = 8.6 g/cm³
# DOS(E_F) = 15.12 states/eV/f.u.
# Total magnetization = 11.462 μB per formula unit
# ΔE_f (raw) = -1470.7 kJ/mol of formula units
# Volume = 179 Å³ per cell
data_LaTmPu2S4
_chemical_formula_sum 'La1 Tm1 Pu2 S4'
_space_group_name_H-M_alt 'P 1 2/m 1'
_space_group_IT_number 10
_space_group_name_Hall '-P 2y'
_cell_length_a 6.907
_cell_length_b 3.967
_cell_length_c 6.909
_cell_angle_alpha 90.00
_cell_angle_beta 109.22
_cell_angle_gamma 90.00
loop_
_atom_site_label
_atom_site_fract_x
_atom_site_fract_y
_atom_site_fract_z
_atom_site_occupancy
La1 0.000 0.000 0.000 1
Tm1 0.500 0.500 0.000 1
Pu1 0.000 0.500 0.500 1
Pu2 0.500 0.000 0.500 1
S1 0.263 0.000 0.752 1
S2 0.264 0.500 0.257 1

=====

No. 10
# PBE-GGA HgTeRh2, optimized geometry
# Density = 12.3 g/cm³
# DOS(E_F) = 3.59 states/eV/f.u.
# Total magnetization = 0.000 μB per formula unit
# ΔE_f (raw) = 32.7 kJ/mol of formula units
# Volume = 144 Å³ per cell
data_HgTeRh2
_chemical_formula_sum 'Hg2 Te2 Rh4'
_space_group_name_H-M_alt 'C m m m'
_space_group_IT_number 65
_space_group_name_Hall '-C 2 2'
_cell_length_a 6.472
_cell_length_b 6.877
_cell_length_c 3.237
_cell_angle_alpha 90.00
_cell_angle_beta 90.00
_cell_angle_gamma 90.00
loop_
_atom_site_label
_atom_site_fract_x
_atom_site_fract_y
_atom_site_fract_z
_atom_site_occupancy
Hg1 0.000 0.000 0.000 1
Te1 0.000 0.500 0.000 1
Rh1 0.250 0.250 0.500 1

=====

No. 11
# PBE-GGA Tb4Pr, optimized geometry
# Density = 7.9 g/cm³
# DOS(E_F) = 6.10 states/eV/f.u.
# Formation enthalpy at 0 K = 0.07 eV/f.u.
# Total magnetization = 0.000 μB per formula unit
# Volume = 327 Å³ per cell
data_Tb4Pr
_chemical_formula_sum 'Tb8 Pr2'
_space_group_name_H-M_alt 'C 1 2/m 1'
_space_group_IT_number 12
_space_group_name_Hall '-C 2y'
_cell_length_a 6.219
_cell_length_b 3.592
_cell_length_c 14.763
_cell_angle_alpha 90.00
_cell_angle_beta 97.97
_cell_angle_gamma 90.00
loop_
_atom_site_label
_atom_site_fract_x
_atom_site_fract_y
_atom_site_fract_z
_atom_site_occupancy
Tb1 0.099 0.000 0.296 1
Tb2 0.199 0.500 0.099 1
Pr1 0.000 0.500 0.500 1

=====

No. 12
# PBE-GGA LiAc3Dy3Se8, optimized geometry
# Density = 7.0 g/cm³
# DOS(E_F) = 4.37 states/eV/f.u.
# Total magnetization = 0.000 μB per formula unit
# ΔE_f (raw) = -2620.4 kJ/mol of formula units
# Volume = 1291 Å³ per cell
data_LiAc3Dy3Se8
_chemical_formula_sum 'Li3 Ac9 Dy9 Se24'
_space_group_name_H-M_alt 'R -3 m'
_space_group_IT_number 166
_space_group_name_Hall '-R 3 2"'
_cell_length_a 8.3848
_cell_length_b 8.3848
_cell_length_c 21.1968
_cell_angle_alpha 90.00
_cell_angle_beta 90.00
_cell_angle_gamma 120.00
loop_
_atom_site_label
_atom_site_fract_x
_atom_site_fract_y
_atom_site_fract_z
_atom_site_occupancy
Li1 0.0000 0.0000 0.0000 1
Ac1 0.0000 0.5000 0.5000 1
Dy1 0.0000 0.5000 0.0000 1
Se1 0.0000 0.0000 0.2592 1
Se2 0.0027 0.5013 0.2581 1